# 1
Cd2HgAu: PBEsol geometry, meta-GGA SCAN.

It has space group P4/mmm (No. 123), with a = 4.442 Å, b = 4.442 Å, c = 3.950 Å, α = 90.00°, β = 90.00° and γ = 90.00°. The inequivalent atoms are Cd at (0.000, 0.500, 0.000), Hg at (0.000, 0.000, 0.500) and Au at (0.500, 0.500, 0.500).

The value obtained for the magnetic moment is 0.000 μB/atom. The calculation puts the formation energy at -71.7 meV/atom. The energy above the lowest structure with this stoichiometry is 0.035 eV/atom.



# 2
ZrHgRh: PBEsol geometry, meta-GGA SCAN.

It has space group I4mm (No. 107), with a = 3.467 Å, b = 3.467 Å, c = 8.999 Å, α = 90.00°, β = 90.00° and γ = 90.00°. The inequivalent atoms are Zr at (0.000, 0.000, 0.000), Hg at (0.000, 0.000, 0.683) and Rh at (0.000, 0.000, 0.361).

The value obtained for the magnetic moment is 0.000 μB/atom. The calculation puts the formation energy at -624.1 meV/atom.